[1]
The following is a DFT calculation (PBE-GGA) of a geometry-optimized Ni3HOs structure.

Crystal system: cubic

Cell: 3.665 3.665 3.665 Å, 90.00 90.00 90.00°
Last column: magnetic moment on the atom in μB.
Fractional positions:
Ni  0.500  0.000  0.000  0.46
Ni  0.000  0.000  0.500  0.28
Ni  0.000  0.500  0.000  0.33
H  0.000  0.000  0.000  0.00
Os  0.500  0.500  0.500  0.66



[2]
The following is a DFT calculation (PBE-GGA) of a geometry-optimized Ca2CdSnHg5 structure.

Calculated formation energy (eV per atom): -0.14
Crystal system: tetragonal

Cell: 9.114 9.114 8.949 Å, 120.61 120.61 90.00°
Fractional positions:
Hg  0.833  0.954  0.287
Hg  0.500  0.500  0.000
Hg  0.333  0.833  0.287
Hg  0.954  0.454  0.287
Hg  0.546  0.667  0.713
Hg  0.167  0.046  0.713
Hg  0.046  0.546  0.713
Hg  0.667  0.167  0.713
Hg  0.000  0.000  0.000
Hg  0.454  0.333  0.287
Cd  0.250  0.750  0.500
Cd  0.750  0.250  0.500
Ca  0.373  0.873  0.000
Ca  0.873  0.627  0.000
Ca  0.627  0.127  0.000
Ca  0.127  0.373  0.000
Sn  0.250  0.250  0.500
Sn  0.750  0.750  0.500



[3]
The following is a DFT calculation (PBE-GGA) of a geometry-optimized La7Ga2Cu2 structure.

Calculated formation energy (eV per atom): -0.13
Crystal system: orthorhombic

Cell: 6.947 7.166 6.947 Å, 90.00 108.24 90.00°
Fractional positions:
La  0.000  0.283  0.500
La  0.500  0.283  0.000
La  0.500  0.723  0.500
La  0.500  0.717  0.000
La  0.000  0.717  0.500
La  0.000  0.000  0.000
La  0.500  0.277  0.500
Cu  0.709  0.000  0.291
Cu  0.291  0.000  0.709
Ga  0.845  0.500  0.845
Ga  0.155  0.500  0.155



[4]
The following is a DFT calculation (PBE-GGA) of a geometry-optimized ScAl2MoAu structure.

Calculated formation energy (eV per atom): 0.70
Crystal system: tetragonal

Cell: 4.711 5.157 4.711 Å, 90.00 90.00 90.00°
Last column: magnetic moment on the atom in μB.
Fractional positions:
Sc  0.000  0.500  0.000  -0.21
Al  0.500  0.000  0.000  -0.01
Al  0.000  0.000  0.500  -0.02
Au  0.000  0.000  0.000  -0.01
Mo  0.500  0.500  0.500  2.62



[5]
The following is a DFT calculation (PBE-GGA) of a geometry-optimized Ca2Tl5Pb5 structure.

Calculated formation energy (eV per atom): -0.16
Crystal system: monoclinic

Cell: 4.936 7.753 10.641 Å, 73.36 76.59 71.44°
Fractional positions:
Tl  0.000  0.000  0.000
Tl  0.250  0.752  0.749
Tl  0.750  0.248  0.251
Tl  0.166  0.163  0.505
Tl  0.834  0.837  0.495
Pb  0.330  0.339  0.002
Pb  0.587  0.075  0.751
Pb  0.670  0.661  0.998
Pb  0.500  0.500  0.500
Pb  0.413  0.925  0.249
Ca  0.920  0.417  0.743
Ca  0.080  0.583  0.257



[6]
The following is a DFT calculation (PBE-GGA) of a geometry-optimized Sm2Tl3PbS6 structure.

Crystal system: monoclinic

Cell: 7.244 7.244 7.625 Å, 98.92 98.92 120.07°
Fractional positions:
S  0.721  0.721  0.212
S  0.420  0.071  0.214
S  0.279  0.279  0.788
S  0.929  0.580  0.786
S  0.071  0.420  0.214
S  0.580  0.929  0.786
Tl  0.500  0.500  0.500
Tl  0.834  0.166  0.500
Tl  0.166  0.834  0.500
Sm  0.668  0.332  0.000
Sm  0.332  0.668  0.000
Pb  0.000  0.000  0.000



[7]
The following is a DFT calculation (PBE-GGA) of a geometry-optimized RbTl2Br8 structure.

Crystal system: monoclinic

Cell: 7.654 9.441 9.441 Å, 50.32 75.42 75.42°
Last column: magnetic moment on the atom in μB.
Fractional positions:
Tl  0.661  0.827  0.827  0.00
Tl  0.339  0.173  0.173  0.00
Br  0.062  0.302  0.302  0.09
Br  0.301  0.331  0.824  0.15
Br  0.338  0.806  0.806  0.00
Br  0.662  0.194  0.194  0.00
Br  0.301  0.824  0.331  0.15
Br  0.699  0.176  0.669  0.15
Br  0.699  0.669  0.176  0.15
Br  0.938  0.698  0.698  0.09
Rb  0.000  0.000  0.000  0.00



[8]
The following is a DFT calculation (PBE-GGA) of a geometry-optimized Ba2SrAg structure.

Calculated formation energy (eV per atom): 0.06
Crystal system: orthorhombic

Cell: 6.159 6.159 4.860 Å, 90.00 90.00 89.75°
Fractional positions:
Sr  0.500  0.000  0.500
Ba  0.500  0.500  0.000
Ba  0.000  0.000  0.000
Ag  0.000  0.500  0.500



[9]
The following is a DFT calculation (PBE-GGA) of a geometry-optimized Ba2Ca2Sb2S structure.

Crystal system: tetragonal

Cell: 5.263 5.263 9.798 Å, 105.58 105.58 90.00°
Fractional positions:
Ca  0.000  0.500  0.000
Ca  0.500  0.000  0.000
Sb  0.374  0.374  0.747
Sb  0.626  0.626  0.253
Ba  0.826  0.826  0.652
Ba  0.174  0.174  0.348
S  0.000  0.000  0.000



[10]
The following is a DFT calculation (PBE-GGA) of a geometry-optimized BaTaCoSi2 structure.

Crystal system: tetragonal

Cell: 5.383 5.383 5.300 Å, 90.00 90.00 90.00°
Last column: magnetic moment on the atom in μB.
Fractional positions:
Si  0.500  0.000  0.000  0.01
Si  0.000  0.500  0.000  0.01
Co  0.500  0.500  0.500  2.18
Ba  0.000  0.000  0.000  0.02
Ta  0.000  0.000  0.500  -0.16



[11]
The following is a DFT calculation (PBE-GGA) of a geometry-optimized NbPPtCl2 structure.

Crystal system: tetragonal

Cell: 4.659 4.659 5.139 Å, 90.00 90.00 90.00°
Fractional positions:
Pt  0.500  0.500  0.500
Nb  0.000  0.000  0.000
Cl  0.000  0.500  0.000
Cl  0.500  0.000  0.000
P  0.000  0.000  0.500



[12]
The following is a DFT calculation (PBE-GGA) of a geometry-optimized Tm2HfCu structure.

Calculated formation energy (eV per atom): 0.38
Crystal system: trigonal

Cell: 3.184 3.184 10.998 Å, 81.68 81.68 60.00°
Fractional positions:
Tm  0.902  0.902  0.293
Tm  0.098  0.098  0.707
Cu  0.500  0.500  0.500
Hf  0.000  0.000  0.000



[13]
The following is a DFT calculation (PBE-GGA) of a geometry-optimized UTl2I6 structure.

Crystal system: monoclinic

Cell: 8.162 8.753 11.748 Å, 90.00 94.77 90.00°
Last column: magnetic moment on the atom in μB.
Fractional positions:
Tl  0.540  0.899  0.723  0.00
Tl  0.460  0.101  0.277  0.00
Tl  0.960  0.399  0.777  0.00
Tl  0.040  0.601  0.223  0.00
U  0.500  0.500  0.000  2.15
U  0.000  0.000  0.500  2.15
I  0.330  0.791  0.062  -0.03
I  0.134  0.033  0.746  -0.03
I  0.670  0.209  0.938  -0.03
I  0.699  0.185  0.550  -0.03
I  0.634  0.467  0.246  -0.03
I  0.801  0.685  0.950  -0.03
I  0.301  0.815  0.450  -0.03
I  0.199  0.315  0.050  -0.03
I  0.170  0.291  0.438  -0.03
I  0.830  0.709  0.562  -0.03
I  0.866  0.967  0.254  -0.03
I  0.366  0.533  0.754  -0.03



[14]
The following is a DFT calculation (PBE-GGA) of a geometry-optimized BaTl2NiBi structure.

Calculated formation energy (eV per atom): -0.20
Crystal system: tetragonal

Cell: 5.173 5.173 5.672 Å, 90.00 90.00 90.00°
Fractional positions:
Ni  0.000  0.000  0.000
Bi  0.000  0.000  0.500
Tl  0.500  0.000  0.000
Tl  0.000  0.500  0.000
Ba  0.500  0.500  0.500



[15]
The following is a DFT calculation (PBE-GGA) of a geometry-optimized Cs2Cd4HgAu3 structure.

Calculated formation energy (eV per atom): -0.20
Crystal system: tetragonal

Cell: 5.188 5.188 11.229 Å, 90.00 90.00 90.00°
Fractional positions:
Cs  0.500  0.000  0.252
Cs  0.000  0.500  0.748
Cd  0.500  0.000  0.630
Cd  0.000  0.000  0.000
Cd  0.000  0.500  0.370
Cd  0.500  0.500  0.000
Au  0.500  0.000  0.884
Au  0.000  0.000  0.500
Au  0.000  0.500  0.116
Hg  0.500  0.500  0.500



[16]
The following is a DFT calculation (PBE-GGA) of a geometry-optimized LiCd5Hg4 structure.

Calculated formation energy (eV per atom): -0.04
Crystal system: tetragonal

Cell: 6.009 7.083 7.083 Å, 79.63 64.90 64.90°
Fractional positions:
Li  0.210  0.000  0.000
Hg  0.355  0.358  0.819
Hg  0.532  0.642  0.181
Hg  0.714  0.819  0.642
Hg  0.174  0.181  0.358
Cd  0.027  0.634  0.212
Cd  0.661  0.212  0.366
Cd  0.240  0.788  0.634
Cd  0.723  0.000  0.000
Cd  0.874  0.366  0.788



[17]
The following is a DFT calculation (PBE-GGA) of a geometry-optimized Tb2FeMoN5 structure.

Crystal system: orthorhombic

Cell: 3.176 7.120 9.800 Å, 90.00 90.00 102.89°
Last column: magnetic moment on the atom in μB.
Fractional positions:
N  0.502  0.005  0.779  0.03
N  0.303  0.607  0.662  0.01
N  0.974  0.949  0.519  0.00
N  0.026  0.051  0.019  0.00
N  0.697  0.393  0.162  0.01
N  0.678  0.356  0.874  0.00
N  0.340  0.680  0.004  0.00
N  0.322  0.644  0.374  0.00
N  0.498  0.995  0.279  0.03
N  0.660  0.320  0.504  0.00
Fe  0.552  0.103  0.950  0.30
Fe  0.448  0.897  0.450  0.30
Tb  0.877  0.754  0.818  0.01
Tb  0.882  0.765  0.196  0.01
Tb  0.123  0.246  0.318  0.01
Tb  0.118  0.235  0.696  0.01
Mo  0.792  0.583  0.521  0.07
Mo  0.208  0.417  0.021  0.07



[18]
The following is a DFT calculation (PBE-GGA) of a geometry-optimized Ce8NiOs3Cl4 structure.

Crystal system: trigonal

Cell: 8.037 8.721 8.037 Å, 117.46 120.00 90.00°
Last column: magnetic moment on the atom in μB.
Fractional positions:
Ce  0.236  0.706  0.969  0.68
Ce  0.733  0.706  0.969  0.68
Ce  0.764  0.294  0.031  0.68
Ce  0.264  0.291  0.527  0.59
Ce  0.764  0.294  0.527  0.68
Ce  0.267  0.294  0.031  0.68
Ce  0.736  0.709  0.473  0.59
Ce  0.236  0.706  0.473  0.68
Ni  0.000  0.500  0.000  -0.10
Cl  0.000  0.000  0.000  -0.01
Cl  0.500  0.000  0.000  -0.01
Cl  0.500  0.000  0.500  -0.01
Cl  0.000  0.000  0.500  -0.01
Os  0.000  0.500  0.500  -0.11
Os  0.500  0.500  0.500  -0.11
Os  0.500  0.500  0.000  -0.11



[19]
The following is a DFT calculation (PBE-GGA) of a geometry-optimized Ba3Sb2 structure.

Crystal system: orthorhombic

Cell: 9.290 8.942 8.794 Å, 63.17 59.19 57.64°
Fractional positions:
Ba  0.864  0.955  0.609
Ba  0.326  0.174  0.326
Ba  0.076  0.924  0.076
Ba  0.609  0.572  0.864
Ba  0.678  0.641  0.295
Ba  0.295  0.386  0.678
Sb  0.272  0.783  0.679
Sb  0.679  0.266  0.272
Sb  0.984  0.571  0.467
Sb  0.467  0.978  0.984



[20]
The following is a DFT calculation (PBE-GGA) of a geometry-optimized PuZn2GaO6 structure.

Crystal system: monoclinic

Cell: 5.343 5.344 7.989 Å, 90.00 89.95 90.00°
Last column: magnetic moment on the atom in μB.
Fractional positions:
Ga  0.500  0.000  0.000  0.00
Ga  0.000  0.500  0.500  0.00
Zn  0.516  0.523  0.749  0.00
Zn  0.016  0.977  0.249  0.00
Zn  0.984  0.023  0.751  0.00
Zn  0.484  0.477  0.251  0.00
O  0.673  0.669  0.437  -0.09
O  0.327  0.331  0.563  -0.09
O  0.341  0.318  0.924  -0.08
O  0.841  0.182  0.424  -0.08
O  0.122  0.602  0.266  -0.04
O  0.159  0.818  0.576  -0.08
O  0.378  0.102  0.234  -0.04
O  0.659  0.682  0.076  -0.08
O  0.622  0.898  0.766  -0.04
O  0.878  0.398  0.734  -0.04
O  0.173  0.831  0.937  -0.09
O  0.827  0.169  0.063  -0.09
Pu  0.000  0.500  0.000  3.40
Pu  0.500  0.000  0.500  3.40



| no. | VASP energy (eV per atom) | size of the total moment (μB/f.u.) |
| --- | --- | --- |
| 1 | -6.14 | 1.7 |
| 2 | -1.30 | 0.0 |
| 3 | -4.56 | 0.0 |
| 4 | -4.89 | 2.7 |
| 5 | -3.03 | 0.0 |
| 6 | -4.82 | 0.0 |
| 7 | -2.33 | 1.1 |
| 8 | -2.04 | 0.0 |
| 9 | -4.26 | 0.0 |
| 10 | -3.44 | 1.9 |
| 11 | -4.66 | 0.0 |
| 12 | -5.37 | 0.0 |
| 13 | -3.58 | 2.0 |
| 14 | -3.46 | 0.0 |
| 15 | -1.75 | 0.0 |
| 16 | -0.81 | 0.0 |
| 17 | -8.57 | 0.4 |
| 18 | -6.75 | 5.9 |
| 19 | -3.74 | 0.0 |
| 20 | -6.84 | 3.0 |